VASP calculation (PBE-GGA) on a relaxed Dy2GaSi3 crystal.

Its space-group type is No. 44. As for the formation energy (no corrections): -0.58 eV/atom. The electronic total energy comes out at -5.334 eV/atom.

Cell lengths 7.517, 7.517, 7.517 Å; angles 148.66, 147.65, 45.67 degrees
Fractional coordinates of all 6 atoms:
Dy 0.000 0.000 0.000
Dy 0.740 0.240 0.500
Ga 0.413 0.413 0.000
Si 0.158 0.658 0.500
Si 0.325 0.825 0.500
Si 0.583 0.583 0.000

=====

VASP calculation (PBE-GGA) on a relaxed Dy6GaSi2 crystal.

Its space-group type is No. 71. As for the formation energy (no corrections): -0.55 eV/atom. The electronic total energy comes out at -5.157 eV/atom.

Cell lengths 8.421, 8.421, 8.421 Å; angles 111.63, 110.50, 106.33 degrees
Fractional coordinates of all 18 atoms:
Dy 0.045 0.244 0.801
Dy 0.180 0.269 0.448
Dy 0.180 0.731 0.911
Dy 0.324 0.030 0.707
Dy 0.324 0.617 0.293
Dy 0.443 0.244 0.199
Dy 0.557 0.756 0.801
Dy 0.676 0.383 0.707
Dy 0.676 0.970 0.293
Dy 0.820 0.269 0.089
Dy 0.820 0.731 0.552
Dy 0.955 0.756 0.199
Ga 0.000 0.000 0.000
Ga 0.500 0.500 0.000
Si 0.117 0.617 0.500
Si 0.368 0.000 0.368
Si 0.632 0.000 0.632
Si 0.883 0.383 0.500

=====

VASP calculation (PBE-GGA) on a relaxed Dy2Ga3Si crystal.

Its space-group type is No. 25. As for the formation energy (no corrections): -0.65 eV/atom. The electronic total energy comes out at -4.603 eV/atom.

Cell lengths 4.060, 4.162, 7.199 Å; angles 90.00, 90.00, 90.00 degrees
Fractional coordinates of all 6 atoms:
Dy 0.000 0.000 0.000
Dy 0.000 0.500 0.488
Ga 0.500 0.000 0.660
Ga 0.500 0.500 0.160
Ga 0.500 0.500 0.825
Si 0.500 0.000 0.328

=====

VASP calculation (PBE-GGA) on a relaxed Dy3Ga4Si2 crystal.

Its space-group type is No. 12. As for the formation energy (no corrections): -0.65 eV/atom. The electronic total energy comes out at -4.730 eV/atom.

Cell lengths 5.794, 5.794, 8.228 Å; angles 101.31, 101.31, 41.90 degrees
Fractional coordinates of all 9 atoms:
Dy 0.000 0.000 0.000
Dy 0.332 0.332 0.337
Dy 0.668 0.668 0.663
Ga 0.057 0.057 0.389
Ga 0.270 0.270 0.936
Ga 0.730 0.730 0.064
Ga 0.943 0.943 0.611
Si 0.393 0.393 0.727
Si 0.607 0.607 0.273

=====

VASP calculation (PBE-GGA) on a relaxed Dy4Ga5Si2 crystal.

Its space-group type is No. 10. As for the formation energy (no corrections): -0.64 eV/atom. The electronic total energy comes out at -4.674 eV/atom.

Cell lengths 6.963, 4.218, 7.930 Å; angles 90.00, 90.64, 90.00 degrees
Fractional coordinates of all 11 atoms:
Dy 0.219 0.000 0.363
Dy 0.243 0.000 0.892
Dy 0.757 0.000 0.108
Dy 0.781 0.000 0.637
Ga 0.127 0.500 0.622
Ga 0.445 0.500 0.157
Ga 0.500 0.500 0.500
Ga 0.555 0.500 0.843
Ga 0.873 0.500 0.378
Si 0.083 0.500 0.129
Si 0.917 0.500 0.871

=====

VASP calculation (PBE-GGA) on a relaxed Dy3Ga2Si3 crystal.

Its space-group type is No. 63. The value obtained for the offset from the most stable computed form is 0.0 meV/atom. As for the formation energy (no corrections): -0.62 eV/atom. The electronic total energy comes out at -5.141 eV/atom.

Cell lengths 5.735, 5.735, 14.869 Å; angles 90.00, 90.00, 138.06 degrees
Fractional coordinates of all 16 atoms:
Dy 0.070 0.930 0.750
Dy 0.363 0.637 0.595
Dy 0.363 0.637 0.905
Dy 0.637 0.363 0.095
Dy 0.637 0.363 0.405
Dy 0.930 0.070 0.250
Ga 0.349 0.651 0.121
Ga 0.349 0.651 0.379
Ga 0.651 0.349 0.621
Ga 0.651 0.349 0.879
Si 0.080 0.920 0.553
Si 0.080 0.920 0.947
Si 0.200 0.800 0.250
Si 0.800 0.200 0.750
Si 0.920 0.080 0.053
Si 0.920 0.080 0.447

=====

VASP calculation (PBE-GGA) on a relaxed TbDyGaSi crystal.

Its space-group type is No. 38. As for the formation energy (no corrections): -0.75 eV/atom. The electronic total energy comes out at -5.170 eV/atom.

Cell lengths 3.964, 5.791, 5.791 Å; angles 43.75, 90.00, 90.00 degrees
Fractional coordinates of all 4 atoms:
Tb 0.000 0.000 0.000
Dy 0.500 0.719 0.719
Ga 0.500 0.434 0.434
Si 0.000 0.283 0.283

=====

VASP calculation (PBE-GGA) on a relaxed DyThGaSi crystal.

Its space-group type is No. 38. As for the formation energy (no corrections): -0.66 eV/atom. The electronic total energy comes out at -5.778 eV/atom.

Cell lengths 4.023, 5.884, 5.884 Å; angles 43.54, 90.00, 90.00 degrees
Fractional coordinates of all 4 atoms:
Dy 0.000 0.000 0.000
Th 0.500 0.718 0.718
Ga 0.000 0.288 0.288
Si 0.500 0.437 0.437

=====

> The highest electronic total energy belongs to which entry?

Dy2Ga3Si